# BaBe2Ir GGA-PBE relaxed
# N(E_F)   1.9 states/eV/cell
# Energy relative to the lowest polymorph listed for this composition   0.517 eV/atom
# Space-group type   No. 44
# M_tot   0.0 μB per formula unit
# Final energy   -17.1 eV/f.u.
# Energy relative to the elements   0.2852 eV/atom
data_BaBe2Ir
_chemical_formula_sum 'Ba1 Be2 Ir1'
_cell_length_a 5.250
_cell_length_b 5.250
_cell_length_c 5.250
_cell_angle_alpha 135.34
_cell_angle_beta 108.86
_cell_angle_gamma 88.03
_space_group_name_H-M_alt 'P 1'
_space_group_IT_number 1
_space_group_name_Hall 'P 1'
loop_
_atom_site_label
_atom_site_fract_x
_atom_site_fract_y
_atom_site_fract_z
_atom_site_occupancy
Ba1 0.754 0.254 0.500 1
Be1 0.108 0.108 0.000 1
Be2 0.257 0.757 0.500 1
Ir1 0.380 0.380 0.000 1